A relaxed BaAlSe crystal. Source: the Alexandria database, functional PBE. Values from VASP.

```
&SYSTEM
  ibrav = 0, nat = 3, ntyp = 3
/
ATOMIC_SPECIES
Al 26.98 Al.upf
Ba 137.33 Ba.upf
Se 78.96 Se.upf
ATOMIC_POSITIONS angstrom
Al -4.870 4.443 0.572
Ba -7.305 6.665 0.858
Se 0.000 0.000 0.000
CELL_PARAMETERS angstrom
-2.177 4.459 -2.138
-5.359 0.688 0.065
-2.204 3.740 3.217
```

Properties
The space-group type is F-43m (216). The value obtained for the uncorrected formation energy is -240 meV/atom. The calculation puts the magnetic moment at 0.0 μB/f.u. As for the offset from the most stable computed form: 0.500 eV/atom. The crystal system is cubic. Its density of states at the Fermi level is 1.075 states/eV/atom.